Below is CaYSb after structural relaxation, with properties calculated at the PBE level.

Unit cell a=6.7752 b=6.7738 c=3.9415 alpha=73.11 beta=73.07 gamma=33.82
Closest atoms and distances in Å follow each position.
Positions (direct):
Y (0.7012, 0.7012, 0.2988)  4 Sb 3.16, 1 Ca 3.41
Sb (0.3213, 0.3213, 0.6787)  4 Y 3.16, 4 Ca 3.39
Ca (0.9775, 0.9775, 0.0225)  4 Sb 3.39, 1 Y 3.41

Values from the calculation:
Symmetry = I4mm (107)
E_form (uncorrected) = -0.567 eV per atom



Below is KPdI3 after structural relaxation, with properties calculated at the PBE level.

Unit cell a=5.6232 b=5.6232 c=5.6232 alpha=90.00 beta=90.00 gamma=90.00
Closest atoms and distances in Å follow each position.
Positions (direct):
I (0.0000, 0.5000, 0.0000)  2 Pd 2.81
I (0.0000, 0.0000, 0.5000)  2 Pd 2.81
I (0.5000, 0.0000, 0.0000)  2 Pd 2.81
K (0.5000, 0.5000, 0.5000)  12 I 3.98
Pd (0.0000, 0.0000, 0.0000)  6 I 2.81

Values from the calculation:
Symmetry = Pm-3m (221)
E_form (uncorrected) = -0.662 eV per atom



Below is Zr6Tc5Sn after structural relaxation, with properties calculated at the PBE level.

Unit cell a=4.6776 b=6.7647 c=8.1514 alpha=114.52 beta=106.67 gamma=90.00
Closest atoms and distances in Å follow each position.
Positions (direct):
Tc (0.6615, 0.1615, 0.3231)  8 Zr 2.85-2.92
Tc (0.3318, 0.3317, 0.6635)  8 Zr 2.84-2.85
Tc (0.0000, 0.5000, 0.0000)  8 Zr 2.81-2.93
Tc (0.6682, 0.6683, 0.3365)  8 Zr 2.84-2.85
Tc (0.3385, 0.8385, 0.6769)  8 Zr 2.85-2.92
Zr (0.8275, 0.5691, 0.6551)  7 Tc 2.84-2.93, 1 Sn 2.99
Zr (0.8275, 0.0859, 0.6551)  7 Tc 2.84-2.93, 1 Sn 2.99
Zr (0.5000, 0.7308, 0.0000)  6 Tc 2.81-2.91, 2 Sn 2.96, 1 Zr 3.12
Zr (0.5000, 0.2692, 0.0000)  6 Tc 2.81-2.91, 2 Sn 2.96, 1 Zr 3.12
Zr (0.1725, 0.9141, 0.3449)  7 Tc 2.84-2.93, 1 Sn 2.99
Zr (0.1725, 0.4309, 0.3449)  7 Tc 2.84-2.93, 1 Sn 2.99
Sn (0.0000, 0.0000, 0.0000)  8 Zr 2.96-2.99, 4 Tc 3.26

Values from the calculation:
Calculated formation energy = -0.388 eV per atom
Symmetry = Immm (71)



Number 1: D(E_F) 2.1 states/eV/cell, calculated total energy -4.76 eV per atom, magnetic moment 0.00 μB per formula unit. Number 2: D(E_F) 1.5 states/eV/cell, calculated total energy -2.85 eV per atom, magnetic moment 0.00 μB per formula unit. Number 3: D(E_F) 7.6 states/eV/cell, calculated total energy -9.31 eV per atom, magnetic moment 0.00 μB per formula unit.